# 1
Computed, not measured: a relaxed structure of BeNiTe at the PBE-GGA level of DFT.

a = 3.6330 Å, b = 4.1403 Å, c = 7.9492 Å
α = 83.69°, β = 89.84°, γ = 63.99°
Fractional coordinates of all 6 atoms:
1 Be 0.0000 0.0000 0.0000
2 Be 0.0865 0.8276 0.7576
3 Ni 0.4022 0.1960 0.7548
4 Ni 0.7163 0.5660 0.9085
5 Te 0.3045 0.3871 0.1384
6 Te 0.6969 0.6092 0.5813

Values from the calculation:
Spin magnetization (μB per formula unit): 0.00
Formation energy from raw total energies (eV/atom): -0.143
Energy (eV per formula unit): -13.08


# 2
Computed, not measured: a relaxed structure of ScAgSe2Br at the PBE-GGA level of DFT.

a = 5.1269 Å, b = 5.1269 Å, c = 5.0314 Å
α = 90.00°, β = 90.00°, γ = 90.00°
Fractional coordinates of all 5 atoms:
1 Sc 0.0000 0.0000 0.0000
2 Ag 0.5000 0.5000 0.5000
3 Se 0.0000 0.5000 0.5000
4 Se 0.5000 0.0000 0.5000
5 Br 0.5000 0.5000 0.0000

Values from the calculation:
Spin magnetization (μB per formula unit): 0.22
Formation energy from raw total energies (eV/atom): -0.003
Distance to the lowest polymorph of the same formula (meV per atom): 517
Energy (eV per formula unit): -17.84


# 3
Computed, not measured: a relaxed structure of Eu3Ti5H12 at the PBE-GGA level of DFT.

a = 10.4836 Å, b = 10.4836 Å, c = 10.4836 Å
α = 109.47°, β = 109.47°, γ = 109.47°
Fractional coordinates of all 80 atoms:
1 Eu 0.1250 0.2500 0.3750
2 Eu 0.1250 0.3750 0.7500
3 Eu 0.2500 0.3750 0.1250
4 Eu 0.2500 0.8750 0.6250
5 Eu 0.3750 0.1250 0.2500
6 Eu 0.3750 0.7500 0.1250
7 Eu 0.6250 0.2500 0.8750
8 Eu 0.6250 0.8750 0.7500
9 Eu 0.7500 0.1250 0.3750
10 Eu 0.7500 0.6250 0.8750
11 Eu 0.8750 0.6250 0.2500
12 Eu 0.8750 0.7500 0.6250
13 Ti 0.0000 0.0000 0.0000
14 Ti 0.0000 0.0000 0.5000
15 Ti 0.0000 0.5000 0.0000
16 Ti 0.0000 0.5000 0.5000
17 Ti 0.1250 0.7500 0.8750
18 Ti 0.1250 0.8750 0.2500
19 Ti 0.2500 0.1250 0.8750
20 Ti 0.2500 0.6250 0.3750
21 Ti 0.3750 0.2500 0.6250
22 Ti 0.3750 0.6250 0.7500
23 Ti 0.5000 0.0000 0.0000
24 Ti 0.5000 0.0000 0.5000
25 Ti 0.5000 0.5000 0.0000
26 Ti 0.5000 0.5000 0.5000
27 Ti 0.6250 0.3750 0.2500
28 Ti 0.6250 0.7500 0.3750
29 Ti 0.7500 0.3750 0.6250
30 Ti 0.7500 0.8750 0.1250
31 Ti 0.8750 0.1250 0.7500
32 Ti 0.8750 0.2500 0.1250
33 H 0.0328 0.2011 0.1201
34 H 0.0328 0.3317 0.9127
35 H 0.0810 0.7011 0.6683
36 H 0.0810 0.8799 0.4127
37 H 0.0873 0.6201 0.4190
38 H 0.0873 0.9672 0.6683
39 H 0.1201 0.0328 0.2011
40 H 0.1201 0.5873 0.9190
41 H 0.1683 0.2011 0.5810
42 H 0.1683 0.4672 0.5873
43 H 0.2011 0.1201 0.0328
44 H 0.2011 0.5810 0.1683
45 H 0.2989 0.3317 0.9190
46 H 0.2989 0.4672 0.3799
47 H 0.3317 0.9127 0.0328
48 H 0.3317 0.9190 0.2989
49 H 0.3799 0.2989 0.4672
50 H 0.3799 0.5810 0.9127
51 H 0.4127 0.0810 0.8799
52 H 0.4127 0.8317 0.5328
53 H 0.4190 0.0873 0.6201
54 H 0.4190 0.8317 0.7989
55 H 0.4672 0.3799 0.2989
56 H 0.4672 0.5873 0.1683
57 H 0.5328 0.4127 0.8317
58 H 0.5328 0.6201 0.7011
59 H 0.5810 0.1683 0.2011
60 H 0.5810 0.9127 0.3799
61 H 0.5873 0.1683 0.4672
62 H 0.5873 0.9190 0.1201
63 H 0.6201 0.4190 0.0873
64 H 0.6201 0.7011 0.5328
65 H 0.6683 0.0810 0.7011
66 H 0.6683 0.0873 0.9672
67 H 0.7011 0.5328 0.6201
68 H 0.7011 0.6683 0.0810
69 H 0.7989 0.4190 0.8317
70 H 0.7989 0.8799 0.9672
71 H 0.8317 0.5328 0.4127
72 H 0.8317 0.7989 0.4190
73 H 0.8799 0.4127 0.0810
74 H 0.8799 0.9672 0.7989
75 H 0.9127 0.0328 0.3317
76 H 0.9127 0.3799 0.5810
77 H 0.9190 0.1201 0.5873
78 H 0.9190 0.2989 0.3317
79 H 0.9672 0.6683 0.0873
80 H 0.9672 0.7989 0.8799

Values from the calculation:
Spin magnetization (μB per formula unit): 24.30
Energy (eV per formula unit): -116.07


# 4
Computed, not measured: a relaxed structure of YCu2As at the PBE-GGA level of DFT.

a = 4.6485 Å, b = 4.6485 Å, c = 4.6485 Å
α = 119.90°, β = 119.90°, γ = 90.18°
Fractional coordinates of all 4 atoms:
1 Y 0.0000 0.0000 0.0000
2 Cu 0.2500 0.7500 0.5000
3 Cu 0.5000 0.5000 0.0000
4 As 0.7500 0.2500 0.5000

Values from the calculation:
E_form (kJ per mole of atoms): -26.7
Spin magnetization (μB per formula unit): 0.00
Energy (eV per formula unit): -20.41


# 5
Computed, not measured: a relaxed structure of TaCSeF2 at the PBE-GGA level of DFT.

a = 3.6584 Å, b = 3.6584 Å, c = 6.6020 Å
α = 90.00°, β = 90.00°, γ = 90.00°
Fractional coordinates of all 5 atoms:
1 Ta 0.0000 0.0000 0.0000
2 C 0.5000 0.5000 0.0000
3 Se 0.5000 0.5000 0.5000
4 F 0.0000 0.5000 0.5000
5 F 0.5000 0.0000 0.5000

Values from the calculation:
Spin magnetization (μB per formula unit): 1.23
Formation energy from raw total energies (eV/atom): 0.834
Energy (eV per formula unit): -24.14


# 6
Computed, not measured: a relaxed structure of Ce2Mg3Sn4 at the PBE-GGA level of DFT.

a = 8.8997 Å, b = 8.8997 Å, c = 8.6393 Å
α = 90.00°, β = 90.00°, γ = 137.59°
Fractional coordinates of all 18 atoms:
1 Ce 0.1142 0.8858 0.9179
2 Ce 0.3858 0.6142 0.4179
3 Ce 0.6142 0.3858 0.5821
4 Ce 0.8858 0.1142 0.0821
5 Mg 0.0000 0.0000 0.5000
6 Mg 0.0346 0.4654 0.7500
7 Mg 0.4654 0.0346 0.2500
8 Mg 0.5000 0.5000 0.0000
9 Mg 0.5346 0.9654 0.7500
10 Mg 0.9654 0.5346 0.2500
11 Sn 0.1824 0.8176 0.5523
12 Sn 0.2056 0.2944 0.7500
13 Sn 0.2944 0.2056 0.2500
14 Sn 0.3176 0.6824 0.0523
15 Sn 0.6824 0.3176 0.9477
16 Sn 0.7056 0.7944 0.7500
17 Sn 0.7944 0.7056 0.2500
18 Sn 0.8176 0.1824 0.4477

Values from the calculation:
E_form (kJ per mole of atoms): -41.0
Spin magnetization (μB per formula unit): 1.13
Energy (eV per formula unit): -36.49